Record 1
Dy2Mg3Au4 | PBE-GGA | optimized geometry

Cell lengths 4.7207, 4.7421, 9.8817 Å; angles 89.65, 89.99, 60.16 degrees
Fractional positions:
Au 0.0029 0.9938 0.3564
Au 0.9971 0.0062 0.6436
Au 0.6659 0.6683 0.9161
Au 0.3341 0.3317 0.0839
Dy 0.3324 0.3355 0.7823
Dy 0.6676 0.6645 0.2177
Mg 0.6648 0.6708 0.5771
Mg 0.0000 0.0000 0.0000
Mg 0.3352 0.3292 0.4229

**ΔE to the lowest computed polymorph**: 0 meV/atom
**DOS(E_F)**: 0.55 states/eV per atom
**Volume**: 21.32 Å³/atom

Record 2
DyMg9Au2 | PBE-GGA | optimized geometry

Cell lengths 7.4974, 9.1751, 9.1751 Å; angles 80.39, 65.88, 65.88 degrees
Fractional positions:
Mg 0.6785 0.1807 0.5762
Mg 0.0047 0.9238 0.6807
Mg 0.4354 0.8193 0.4238
Mg 0.3146 0.6807 0.0762
Mg 0.6092 0.3193 0.0762
Mg 0.0047 0.6807 0.9238
Mg 0.7453 0.5762 0.8193
Mg 0.6785 0.5762 0.1807
Mg 0.3146 0.0762 0.6807
Mg 0.1408 0.4238 0.1807
Mg 0.7453 0.8193 0.5762
Mg 0.0000 0.0000 0.0000
Mg 0.0715 0.3193 0.9238
Mg 0.6092 0.0762 0.3193
Mg 0.0715 0.9238 0.3193
Mg 0.4354 0.4238 0.8193
Mg 0.1408 0.1807 0.4238
Mg 0.7500 0.5000 0.5000
Au 0.8750 0.2500 0.2500
Au 0.8750 0.7500 0.2500
Au 0.3750 0.7500 0.7500
Au 0.8750 0.2500 0.7500
Dy 0.2500 0.5000 0.5000
Dy 0.5000 0.0000 0.0000

**DOS(E_F)**: 0.36 states/eV per atom
**Volume**: 21.91 Å³/atom

Record 3
DyMgAu4 | PBE-GGA | optimized geometry

Cell lengths 4.4086, 4.4075, 7.1322 Å; angles 89.95, 89.97, 89.97 degrees
Fractional positions:
Au 0.0015 0.4986 0.2731
Au 0.0019 0.4979 0.7231
Au 0.5011 0.9960 0.2732
Au 0.5007 0.9966 0.7230
Dy 0.5018 0.4960 0.9981
Mg 0.0008 0.9986 0.4984

**ΔE to the lowest computed polymorph**: 206 meV/atom
**DOS(E_F)**: 0.25 states/eV per atom
**Volume**: 23.10 Å³/atom

Record 4
Dy2MgAu3 | PBE-GGA | optimized geometry

Cell lengths 4.9872, 4.9872, 12.1280 Å; angles 90.00, 90.00, 120.00 degrees
Fractional positions:
Mg 0.3333 0.6667 0.6648
Mg 0.6667 0.3333 0.3352
Dy 0.0000 0.0000 0.0000
Dy 0.0000 0.0000 0.5000
Dy 0.6667 0.3333 0.8199
Dy 0.3333 0.6667 0.1801
Au 0.0000 0.0000 0.7489
Au 0.6667 0.3333 0.0799
Au 0.0000 0.0000 0.2511
Au 0.6667 0.3333 0.5746
Au 0.3333 0.6667 0.4254
Au 0.3333 0.6667 0.9201

**ΔE to the lowest computed polymorph**: 0 meV/atom
**DOS(E_F)**: 0.42 states/eV per atom
**Volume**: 21.77 Å³/atom

Record 5
Dy3Mg5Au12 | PBE-GGA | optimized geometry

Cell lengths 13.9370, 13.9370, 13.9370 Å; angles 109.47, 109.47, 109.47 degrees
Fractional positions:
Mg 0.1250 0.7500 0.3750
Mg 0.8750 0.2500 0.6250
Mg 0.3750 0.2500 0.1250
Mg 0.5000 0.5000 0.0000
Mg 0.2500 0.8750 0.1250
Mg 0.8750 0.6250 0.7500
Mg 0.0000 0.5000 0.5000
Mg 0.6250 0.7500 0.8750
Mg 0.6250 0.8750 0.2500
Mg 0.7500 0.6250 0.3750
Mg 0.5000 0.0000 0.5000
Mg 0.0000 0.0000 0.5000
Mg 0.5000 0.5000 0.5000
Mg 0.7500 0.1250 0.8750
Mg 0.0000 0.5000 0.0000
Mg 0.1250 0.3750 0.2500
Mg 0.3750 0.1250 0.7500
Mg 0.5000 0.0000 0.0000
Mg 0.2500 0.3750 0.6250
Mg 0.0000 0.0000 0.0000
Au 0.4196 0.0603 0.3375
Au 0.6625 0.2228 0.5821
Au 0.7228 0.1407 0.0603
Au 0.5603 0.3375 0.9196
Au 0.3593 0.4196 0.0821
Au 0.3375 0.5603 0.4196
Au 0.5804 0.6407 0.4179
Au 0.7772 0.3375 0.9179
Au 0.9179 0.0804 0.6407
Au 0.8375 0.9179 0.2772
Au 0.8593 0.5821 0.9196
Au 0.5821 0.8593 0.4196
Au 0.0821 0.9196 0.3593
Au 0.8375 0.9196 0.0603
Au 0.1407 0.7228 0.5603
Au 0.4179 0.1407 0.5804
Au 0.0603 0.4196 0.8375
Au 0.1407 0.4179 0.0804
Au 0.3593 0.9397 0.7772
Au 0.3375 0.7772 0.4179
Au 0.0603 0.6407 0.7228
Au 0.0821 0.1625 0.2228
Au 0.9397 0.3593 0.2772
Au 0.2772 0.8593 0.9397
Au 0.5821 0.7228 0.6625
Au 0.9179 0.8375 0.7772
Au 0.9196 0.0821 0.8593
Au 0.5804 0.9397 0.6625
Au 0.7228 0.5821 0.1625
Au 0.0804 0.9179 0.1407
Au 0.2228 0.5603 0.6407
Au 0.2228 0.6625 0.0821
Au 0.6625 0.4397 0.5804
Au 0.9196 0.8375 0.5603
Au 0.1625 0.0821 0.7228
Au 0.9397 0.5804 0.1625
Au 0.2772 0.4179 0.8375
Au 0.1625 0.0804 0.9397
Au 0.4179 0.2772 0.3375
Au 0.8593 0.2772 0.4397
Au 0.6407 0.5804 0.9179
Au 0.5603 0.2228 0.1407
Au 0.7772 0.4397 0.3593
Au 0.4397 0.7772 0.8593
Au 0.6407 0.0603 0.2228
Au 0.0804 0.1625 0.4397
Au 0.4397 0.6625 0.0804
Au 0.4196 0.3593 0.5821
Dy 0.7500 0.8750 0.6250
Dy 0.6250 0.3750 0.7500
Dy 0.2500 0.1250 0.3750
Dy 0.8750 0.7500 0.1250
Dy 0.7500 0.3750 0.1250
Dy 0.3750 0.7500 0.6250
Dy 0.8750 0.1250 0.2500
Dy 0.6250 0.2500 0.3750
Dy 0.1250 0.2500 0.8750
Dy 0.3750 0.6250 0.2500
Dy 0.2500 0.6250 0.8750
Dy 0.1250 0.8750 0.7500

**DOS(E_F)**: 0.48 states/eV per atom
**Volume**: 26.05 Å³/atom

Record 6
NdDyMgAu | PBE-GGA | optimized geometry

Cell lengths 3.7496, 3.7496, 7.4206 Å; angles 90.00, 90.00, 90.00 degrees
Fractional positions:
Nd 0.0000 0.0000 0.8674
Dy 0.0000 0.0000 0.3380
Mg 0.5000 0.5000 0.5932
Au 0.5000 0.5000 0.1293

**ΔE to the lowest computed polymorph**: 0 meV/atom
**DOS(E_F)**: 0.91 states/eV per atom
**Volume**: 26.08 Å³/atom

no.,energy relative to the elements (eV/atom)
1,-0.6653
2,-0.2558
3,-0.4460
4,-0.8030
5,-0.3201
6,-0.4521